Entry from Alexandria: a relaxed VSn2OsO crystal (GGA+U).

Calculated values
Its uncorrected energy is -28.07 eV/cell. The calculation puts the density of states at the Fermi level at 0.9970 states/eV/atom. As for the symmetry: P4/mmm (123). For the volume, the calculation gives 18.1 Å³ per atom.

Unit cell a=4.923 b=4.923 c=3.733 alpha=90.00 beta=90.00 gamma=90.00
Element x y z (fractional)
V 0.000 0.000 0.000
Sn 0.000 0.500 0.500
Sn 0.500 0.000 0.500
Os 0.500 0.500 0.000
O 0.500 0.500 0.500